! RbAl2TlRe (GGA-PBE, optimized geometry); values from VASP
&SYSTEM
  ibrav = 0, nat = 5, ntyp = 4
/
ATOMIC_SPECIES
Re 186.21 Re.upf
Tl 204.38 Tl.upf
Al 26.98 Al.upf
Rb 85.47 Rb.upf
CELL_PARAMETERS angstrom
-5.3767 -0.7176 -0.5918
-0.5190 -0.5482 5.3803
-0.7704 5.3811 0.4740
ATOMIC_POSITIONS crystal
Re 0.0000 0.5000 0.0000
Tl 0.0000 0.0000 0.0000
Al 0.0000 0.0000 0.5000
Al 0.5000 0.0000 0.0000
Rb 0.5000 0.5000 0.5000
! **ΔE_f**: 7.52 eV/f.u.
! **Space group**: P4/mmm
! **Total magnetization**: 2.97 μB/f.u.

---

! RbAl2Rh (GGA-PBE, optimized geometry); values from VASP
&SYSTEM
  ibrav = 0, nat = 8, ntyp = 3
/
ATOMIC_SPECIES
Rh 102.91 Rh.upf
Al 26.98 Al.upf
Rb 85.47 Rb.upf
CELL_PARAMETERS angstrom
6.2586 0.0000 0.0000
0.0000 6.2586 0.0000
3.1293 3.1293 6.8935
ATOMIC_POSITIONS crystal
Rh 0.0000 0.0000 0.0000
Rh 0.7500 0.2500 0.5000
Al 0.8750 0.1250 0.2500
Al 0.8750 0.6250 0.2500
Al 0.3750 0.1250 0.7500
Al 0.8750 0.1250 0.7500
Rb 0.5000 0.5000 0.0000
Rb 0.2500 0.7500 0.5000
! **ΔE_f**: -0.33 eV/f.u.
! **Space group**: I4_1/amd
! **Total magnetization**: 0.00 μB/f.u.
! **Polymorph energy (0 for the lowest one)**: 0 meV per atom

---

Q: ΔE_f of number 1 (RbAl2TlRe)?
A: 7.52 eV/f.u.